First-principles (PBE) data for a relaxed structure of Er8InSb2, as listed in Alexandria.

Structure (POSCAR):
```
Er8InSb2
1.0
9.5338 -2.4877 0.0000
9.5338 2.4877 0.0000
-1.4162 0.0000 6.7091
Er In Sb
8 1 2
Cartesian
-0.0153 0.0000 1.7321
2.9064 0.0000 5.6473
5.7789 0.0000 3.2350
7.7457 0.0000 0.1034
9.9056 0.0000 6.6057
11.8725 0.0000 3.4741
14.7449 0.0000 1.0617
17.6667 0.0000 4.9769
8.8257 0.0000 3.3545
3.0479 0.0000 1.8068
14.6035 0.0000 4.9023
```

Summary:
Theoretical density   8.85 g/cm3
Raw formation energy   -0.38 eV per atom
Space group   C2/m, No. 12

First-principles (PBE) data for a relaxed structure of ZrScTaRu2, as listed in Alexandria.

Structure (POSCAR):
```
ZrScTaRu2
1.0
4.7798 0.0000 0.0000
0.0000 4.7798 0.0000
0.0000 0.0000 4.8974
Zr Sc Ta Ru
1 1 1 2
Cartesian
0.0000 0.0000 0.0000
2.3899 2.3899 2.4487
0.0000 0.0000 2.4487
0.0000 2.3899 0.0000
2.3899 0.0000 0.0000
```

Summary:
Theoretical density   7.71 g/cm3
Energy of formation from the pure elements   1.238 eV/atom
Space group   P4/mmm, No. 123

First-principles (PBE) data for a relaxed structure of LaTmCo, as listed in Alexandria.

Structure (POSCAR):
```
LaTmCo
1.0
3.5751 -4.1744 0.0000
3.5751 4.1744 0.0000
-0.4429 0.0000 5.2208
La Tm Co
2 2 2
Cartesian
1.4041 0.0000 2.3999
5.3031 0.0000 2.8209
3.5751 1.7127 0.0000
3.5751 -1.7127 0.0000
0.7902 0.0000 4.9703
5.9170 0.0000 0.2505
```

Summary:
Theoretical density   7.82 g/cm3
Energy of formation from the pure elements   -0.152 eV/atom
Relative energy among the computed polymorphs   0.002 eV/atom
Space group   C2/m, No. 12

First-principles (PBE) data for a relaxed structure of Ge2OsAu, as listed in Alexandria.

Structure (POSCAR):
```
Ge2OsAu
1.0
0.0000 3.1957 3.1957
3.1957 0.0000 3.1957
3.1957 3.1957 0.0000
Ge Os Au
2 1 1
Cartesian
1.5979 1.5979 1.5979
4.7936 4.7936 4.7936
0.0000 0.0000 0.0000
3.1957 3.1957 3.1957
```

Summary:
Theoretical density   13.55 g/cm3
Energy of formation from the pure elements   0.504 eV/atom
Relative energy among the computed polymorphs   0.452 eV/atom
Space group   Fm-3m, No. 225

For each record above, in turn, the calculated total magnetic moment values are 0.00; 0.00; 0.00; 0.00 μB/atom.